[1]
Computed, not measured: a relaxed structure of YSnOs3 at the GGA-PBE level of DFT.

Values from the calculation:
The value obtained for the excess energy over the best structure of this formula in the dataset is 1.0262 eV per atom. Its crystal system is cubic. For the calculated formation energy, the calculation gives 2.6879 eV/atom. The value obtained for the volume is 23.67 Å³ per atom.

abc: 4.9101 4.9101 4.9101
angles: 90.00 90.00 90.00
With the nearest neighbours (Å) after each atom.
Fractional coordinates of all 5 atoms:
Y: 0.0000 0.0000 0.0000  6 Os 2.46
Os: 0.0000 0.5000 0.0000  2 Y 2.46
Os: 0.0000 0.0000 0.5000  2 Y 2.46
Os: 0.5000 0.0000 0.0000  2 Y 2.46
Sn: 0.5000 0.5000 0.5000  12 Os 3.47

[2]
Computed, not measured: a relaxed structure of CsIn2S3 at the GGA-PBE level of DFT.

Values from the calculation:
Its crystal system is orthorhombic. Its energy relative to the elements, uncorrected is -0.662 eV/atom. The value obtained for the volume is 28.66 Å³ per atom.

abc: 3.8451 7.1834 12.4500
angles: 90.00 90.00 90.00
With the nearest neighbours (Å) after each atom.
Fractional coordinates of all 12 atoms:
Cs: 0.0000 0.0377 0.8928  6 S 3.49-3.63, 2 Cs 3.85
Cs: 0.0000 0.5377 0.1072  6 S 3.49-3.63, 2 Cs 3.85
In: 0.0000 0.0180 0.2572  5 S 2.59-2.68
In: 0.5000 0.0154 0.5339  5 S 2.71-2.89
In: 0.0000 0.5180 0.7428  5 S 2.59-2.68
In: 0.5000 0.5154 0.4661  5 S 2.71-2.89
S: 0.5000 0.1344 0.1333  2 In 2.60
S: 0.5000 0.2742 0.6919  3 In 2.68-2.71
S: 0.0000 0.2217 0.4288  5 In 2.59-2.89
S: 0.5000 0.6344 0.8667  2 In 2.60
S: 0.5000 0.7742 0.3081  3 In 2.68-2.71
S: 0.0000 0.7217 0.5712  5 In 2.59-2.89

[3]
Computed, not measured: a relaxed structure of Sb2PbW at the GGA-PBE level of DFT.

Values from the calculation:
Its crystal system is tetragonal. Its energy relative to the elements, uncorrected is 0.933 eV/atom. The value obtained for the volume is 23.48 Å³ per atom.

abc: 3.5034 5.1778 5.1778
angles: 90.00 90.00 90.00
With the nearest neighbours (Å) after each atom.
Fractional coordinates of all 4 atoms:
Pb: 0.5000 0.0000 0.5000  8 Sb 3.13
Sb: 0.0000 0.0000 0.0000  4 W 3.13, 4 Pb 3.13
Sb: 0.0000 0.5000 0.5000  4 Pb 3.13, 4 W 3.13
W: 0.5000 0.5000 0.0000  8 Sb 3.13

[4]
Computed, not measured: a relaxed structure of Nd2Al4Cu3Pt at the GGA-PBE level of DFT.

Values from the calculation:
Its crystal system is tetragonal. For the calculated formation energy, the calculation gives -0.5762 eV/atom. The value obtained for the volume is 18.49 Å³ per atom.

abc: 4.2306 4.2306 10.3295
angles: 90.00 90.00 90.00
With the nearest neighbours (Å) after each atom.
Fractional coordinates of all 10 atoms:
Nd: 0.5000 0.0000 0.2500  6 Cu 3.23-3.34, 8 Al 3.24-3.34, 2 Pt 3.34
Nd: 0.0000 0.5000 0.7500  6 Cu 3.23-3.34, 8 Al 3.24-3.34, 2 Pt 3.34
Al: 0.5000 0.5000 0.0000  4 Cu 2.51
Al: 0.0000 0.0000 0.0000  4 Cu 2.51
Al: 0.5000 0.0000 0.6304  3 Cu 2.46-2.51, 2 Pt 2.51
Al: 0.0000 0.5000 0.3696  3 Cu 2.46-2.51, 2 Pt 2.51
Cu: 0.0000 0.0000 0.5000  4 Al 2.51
Cu: 0.5000 0.0000 0.8689  5 Al 2.46-2.51
Cu: 0.0000 0.5000 0.1311  5 Al 2.46-2.51
Pt: 0.5000 0.5000 0.5000  4 Al 2.51

[5]
Computed, not measured: a relaxed structure of P2Os at the GGA-PBE level of DFT.

Values from the calculation:
Its crystal system is orthorhombic. For the calculated formation energy, the calculation gives 0.3508 eV/atom. The value obtained for the volume is 13.81 Å³ per atom.

abc: 5.6065 5.6065 4.1584
angles: 90.00 90.00 140.66
With the nearest neighbours (Å) after each atom.
Fractional coordinates of all 6 atoms:
P: 0.4403 0.5597 0.2500  4 P 2.43-2.69, 2 Os 2.59
P: 0.5597 0.4403 0.7500  4 P 2.43-2.69, 2 Os 2.59
P: 0.7588 0.2412 0.2500  4 Os 2.47-2.51, 2 P 2.69
P: 0.2412 0.7588 0.7500  4 Os 2.47-2.51, 2 P 2.69
Os: 0.1078 0.8922 0.2500  6 P 2.47-2.59
Os: 0.8922 0.1078 0.7500  6 P 2.47-2.59

[6]
Computed, not measured: a relaxed structure of Cd2In2Br at the GGA-PBE level of DFT.

Values from the calculation:
The value obtained for the excess energy over the best structure of this formula in the dataset is 0.0000 eV per atom. Its crystal system is tetragonal. Its energy relative to the elements, uncorrected is -0.122 eV/atom. The value obtained for the volume is 28.32 Å³ per atom.

abc: 8.7656 8.7656 3.6854
angles: 90.00 90.00 90.00
With the nearest neighbours (Å) after each atom.
Fractional coordinates of all 10 atoms:
Cd: 0.1185 0.6185 0.5000  1 Cd 2.94, 2 In 3.03
Cd: 0.6185 0.8815 0.5000  1 Cd 2.94, 2 In 3.03
Cd: 0.8815 0.3815 0.5000  1 Cd 2.94, 2 In 3.03
Cd: 0.3815 0.1185 0.5000  1 Cd 2.94, 2 In 3.03
Br: 0.0000 0.0000 0.0000  4 In 3.19
Br: 0.5000 0.5000 0.0000  4 In 3.19
In: 0.3123 0.8123 0.0000  6 Cd 3.03-3.31, 2 Br 3.19
In: 0.8123 0.6877 0.0000  6 Cd 3.03-3.31, 2 Br 3.19
In: 0.6877 0.1877 0.0000  6 Cd 3.03-3.31, 2 Br 3.19
In: 0.1877 0.3123 0.0000  6 Cd 3.03-3.31, 2 Br 3.19

[7]
Computed, not measured: a relaxed structure of RbCoCuCl5 at the GGA-PBE level of DFT.

Values from the calculation:
Its crystal system is monoclinic. Its energy relative to the elements, uncorrected is -0.915 eV/atom. The value obtained for the volume is 28.13 Å³ per atom.

abc: 7.5093 7.5093 8.5170
angles: 100.19 100.19 102.38
With the nearest neighbours (Å) after each atom.
Fractional coordinates of all 16 atoms:
Rb: 0.3559 0.6441 0.2500  9 Cl 3.34-3.63
Rb: 0.6441 0.3559 0.7500  9 Cl 3.34-3.63
Co: 0.7117 0.2883 0.2500  4 Cl 2.21-2.25
Co: 0.2883 0.7117 0.7500  4 Cl 2.21-2.25
Cu: 0.0000 0.0000 0.5000  4 Cl 2.28-2.41
Cu: 0.0000 0.0000 0.0000  4 Cl 2.28-2.41
Cl: 0.0706 0.9294 0.2500  2 Cu 2.28
Cl: 0.9294 0.0706 0.7500  2 Cu 2.28
Cl: 0.9405 0.2932 0.1118  1 Co 2.25, 1 Cu 2.41
Cl: 0.0595 0.7068 0.8882  1 Co 2.25, 1 Cu 2.41
Cl: 0.7068 0.0595 0.3882  1 Co 2.25, 1 Cu 2.41
Cl: 0.2932 0.9405 0.6118  1 Co 2.25, 1 Cu 2.41
Cl: 0.7580 0.5549 0.4284  1 Co 2.21
Cl: 0.2420 0.4451 0.5716  1 Co 2.21
Cl: 0.4451 0.2420 0.0716  1 Co 2.21
Cl: 0.5549 0.7580 0.9284  1 Co 2.21

[8]
Computed, not measured: a relaxed structure of HfCu at the GGA-PBE level of DFT.

Values from the calculation:
Its crystal system is orthorhombic. For the calculated formation energy, the calculation gives 0.0324 eV/atom. The value obtained for the volume is 17.85 Å³ per atom.

abc: 6.8396 8.1864 10.2003
angles: 90.00 90.00 90.00
With the nearest neighbours (Å) after each atom.
Fractional coordinates of all 32 atoms:
Hf: 0.0000 0.6946 0.0000  6 Cu 2.64-2.76
Hf: 0.0000 0.3054 0.0000  6 Cu 2.64-2.76
Hf: 0.2500 0.0554 0.2500  6 Cu 2.64-2.76
Hf: 0.2500 0.4446 0.2500  6 Cu 2.64-2.76
Hf: 0.0000 0.1946 0.5000  6 Cu 2.64-2.76
Hf: 0.0000 0.8054 0.5000  6 Cu 2.64-2.76
Hf: 0.2500 0.5554 0.7500  6 Cu 2.64-2.76
Hf: 0.2500 0.9446 0.7500  6 Cu 2.64-2.76
Hf: 0.5000 0.6946 0.5000  6 Cu 2.64-2.76
Hf: 0.5000 0.3054 0.5000  6 Cu 2.64-2.76
Hf: 0.7500 0.0554 0.7500  6 Cu 2.64-2.76
Hf: 0.7500 0.4446 0.7500  6 Cu 2.64-2.76
Hf: 0.5000 0.1946 0.0000  6 Cu 2.64-2.76
Hf: 0.5000 0.8054 0.0000  6 Cu 2.64-2.76
Hf: 0.7500 0.5554 0.2500  6 Cu 2.64-2.76
Hf: 0.7500 0.9446 0.2500  6 Cu 2.64-2.76
Cu: 0.1726 0.0000 0.0000  1 Cu 2.36, 2 Hf 2.64
Cu: 0.8274 0.0000 0.0000  1 Cu 2.36, 2 Hf 2.64
Cu: 0.0774 0.7500 0.2500  1 Cu 2.36, 2 Hf 2.64
Cu: 0.4226 0.7500 0.2500  1 Cu 2.36, 2 Hf 2.64
Cu: 0.1726 0.5000 0.5000  1 Cu 2.36, 2 Hf 2.64
Cu: 0.8274 0.5000 0.5000  1 Cu 2.36, 2 Hf 2.64
Cu: 0.0774 0.2500 0.7500  1 Cu 2.36, 2 Hf 2.64
Cu: 0.4226 0.2500 0.7500  1 Cu 2.36, 2 Hf 2.64
Cu: 0.6726 0.0000 0.5000  1 Cu 2.36, 2 Hf 2.64
Cu: 0.3274 0.0000 0.5000  1 Cu 2.36, 2 Hf 2.64
Cu: 0.5774 0.7500 0.7500  1 Cu 2.36, 2 Hf 2.64
Cu: 0.9226 0.7500 0.7500  1 Cu 2.36, 2 Hf 2.64
Cu: 0.6726 0.5000 0.0000  1 Cu 2.36, 2 Hf 2.64
Cu: 0.3274 0.5000 0.0000  1 Cu 2.36, 2 Hf 2.64
Cu: 0.5774 0.2500 0.2500  1 Cu 2.36, 2 Hf 2.64
Cu: 0.9226 0.2500 0.2500  1 Cu 2.36, 2 Hf 2.64

[9]
Computed, not measured: a relaxed structure of TlFePtCl6 at the GGA-PBE level of DFT.

Values from the calculation:
Its crystal system is triclinic. Its energy relative to the elements, uncorrected is -0.654 eV/atom. The value obtained for the volume is 29.78 Å³ per atom.

abc: 6.4617 6.4638 6.9753
angles: 86.73 93.21 67.63
With the nearest neighbours (Å) after each atom.
Fractional coordinates of all 9 atoms:
Tl: 0.9798 0.9807 0.0008  6 Cl 3.19-3.29
Fe: 0.3166 0.3184 0.5005  2 Cl 2.23
Pt: 0.6652 0.6649 0.5000  4 Cl 2.31-2.33
Cl: 0.0635 0.3350 0.2628  1 Fe 2.23
Cl: 0.3346 0.0621 0.7359  1 Fe 2.23
Cl: 0.6353 0.3717 0.6857  1 Pt 2.31, 1 Fe 2.51
Cl: 0.9983 0.6334 0.6692  1 Pt 2.33
Cl: 0.3717 0.6362 0.3142  1 Pt 2.31, 1 Fe 2.52
Cl: 0.6348 0.9976 0.3309  1 Pt 2.33

[10]
Computed, not measured: a relaxed structure of SmTmSc4 at the GGA-PBE level of DFT.

Values from the calculation:
The value obtained for the excess energy over the best structure of this formula in the dataset is 0.1682 eV per atom. Its crystal system is cubic. For the calculated formation energy, the calculation gives 0.2327 eV/atom. The value obtained for the volume is 29.08 Å³ per atom.

abc: 6.2721 6.2721 6.2721
angles: 60.00 60.00 60.00
With the nearest neighbours (Å) after each atom.
Fractional coordinates of all 6 atoms:
Sc: 0.6249 0.6249 0.1254  6 Sc 3.13-3.14
Sc: 0.6249 0.1254 0.6249  6 Sc 3.13-3.14
Sc: 0.6249 0.6249 0.6249  6 Sc 3.13-3.14
Sc: 0.1254 0.6249 0.6249  6 Sc 3.13-3.14
Tm: 0.0000 0.0000 0.0000  12 Sc 3.68, 4 Sm 3.84
Sm: 0.2500 0.2500 0.2500  12 Sc 3.68, 4 Tm 3.84